(1)
## CaAc5TbPr2 (PBE)

Data for a relaxed CaAc5TbPr2 crystal.

Geometry as CIF:
```
data_CaAc5TbPr2
_cell_length_a 5.948
_cell_length_b 22.567
_cell_length_c 11.227
_cell_angle_alpha 90.00
_cell_angle_beta 90.00
_cell_angle_gamma 90.00
_symmetry_space_group_name_H-M 'C m c 21'
_symmetry_Int_Tables_number 36
loop_
_symmetry_equiv_pos_as_xyz
'x,y,z'
'-x,-y,z+1/2'
'-x,y,z'
'x,-y,z+1/2'
'x+1/2,y+1/2,z'
'-x+1/2,-y+1/2,z+1/2'
'-x+1/2,y+1/2,z'
'x+1/2,-y+1/2,z+1/2'
loop_
_atom_site_label
_atom_site_type_symbol
_atom_site_fract_x
_atom_site_fract_y
_atom_site_fract_z
Ca1 Ca 0.000 0.099 0.000
Ac1 Ac 0.000 0.000 0.250
Ac2 Ac 0.000 0.130 0.500
Ac3 Ac 0.000 0.219 0.189
Ac4 Ac 0.000 0.220 0.811
Ac5 Ac 0.000 0.497 0.500
Tb1 Tb 0.000 0.304 0.500
Pr1 Pr 0.000 0.385 0.234
Pr2 Pr 0.000 0.385 0.766
```

Summary:
Volume   1507 Å³/cell
Formation energy from the elements   1.4 eV/f.u.
Total magnetic moment   0.00 μB/cell

(2)
## LiZrBr (PBE)

Data for a relaxed LiZrBr crystal.

Geometry as CIF:
```
data_LiZrBr
_cell_length_a 3.3698
_cell_length_b 3.3698
_cell_length_c 6.8776
_cell_angle_alpha 90.00
_cell_angle_beta 90.00
_cell_angle_gamma 120.00
_symmetry_space_group_name_H-M 'P 3 m 1'
_symmetry_Int_Tables_number 156
loop_
_symmetry_equiv_pos_as_xyz
'x,y,z'
'-y,x-y,z'
'-x+y,-x,z'
'-y,-x,z'
'-x+y,y,z'
'x,x-y,z'
loop_
_atom_site_label
_atom_site_type_symbol
_atom_site_fract_x
_atom_site_fract_y
_atom_site_fract_z
Li1 Li 0.0000 0.0000 0.0000
Zr1 Zr 0.6667 0.3333 0.3634
Br1 Br 0.3333 0.6667 0.6566
```

Summary:
Volume   68 Å³/cell
Total magnetic moment   0.00 μB/cell
ΔE_f (raw)   -0.446 eV per atom

(3)
## Mg6Cd2In (PBE)

Data for a relaxed Mg6Cd2In crystal.

Geometry as CIF:
```
data_Mg6Cd2In
_cell_length_a 14.193
_cell_length_b 10.790
_cell_length_c 5.472
_cell_angle_alpha 90.00
_cell_angle_beta 102.02
_cell_angle_gamma 90.00
_symmetry_space_group_name_H-M 'C 1 2/c 1'
_symmetry_Int_Tables_number 15
loop_
_symmetry_equiv_pos_as_xyz
'x,y,z'
'-x,-y,-z'
'-x,y,-z+1/2'
'x,-y,z+1/2'
'x+1/2,y+1/2,z'
'-x+1/2,-y+1/2,-z'
'-x+1/2,y+1/2,-z+1/2'
'x+1/2,-y+1/2,z+1/2'
loop_
_atom_site_label
_atom_site_type_symbol
_atom_site_fract_x
_atom_site_fract_y
_atom_site_fract_z
Mg1 Mg 0.055 0.124 0.028
Mg2 Mg 0.113 0.373 0.308
Mg3 Mg 0.224 0.375 0.858
Cd1 Cd 0.166 0.123 0.587
In1 In 0.000 0.375 0.750
```

Summary:
Volume   820 Å³/cell
Formation energy from the elements   -0.4 eV/f.u.
Total magnetic moment   0.00 μB/cell

(4)
## Ba2TlAg (PBE)

Data for a relaxed Ba2TlAg crystal.

Geometry as CIF:
```
data_Ba2TlAg
_cell_length_a 5.185
_cell_length_b 5.185
_cell_length_c 10.395
_cell_angle_alpha 90.00
_cell_angle_beta 90.00
_cell_angle_gamma 90.00
_symmetry_space_group_name_H-M 'I -4 m 2'
_symmetry_Int_Tables_number 119
_symmetry_space_group_name_Hall 'I -4 -2'
loop_
_atom_site_label
_atom_site_type_symbol
_atom_site_fract_x
_atom_site_fract_y
_atom_site_fract_z
Ba1 Ba 0.000 0.000 0.000
Ba2 Ba 0.000 0.500 0.250
Tl1 Tl 0.000 0.500 0.750
Ag1 Ag 0.000 0.000 0.500
```

Summary:
Volume   280 Å³/cell
Formation energy from the elements   -0.6 eV/f.u.
Total magnetic moment   0.00 μB/cell

(5)
## ReRuRh2 (PBE)

Data for a relaxed ReRuRh2 crystal.

Geometry as CIF:
```
data_ReRuRh2
_cell_length_a 2.7312
_cell_length_b 2.7312
_cell_length_c 26.5855
_cell_angle_alpha 90.00
_cell_angle_beta 90.00
_cell_angle_gamma 120.00
_symmetry_space_group_name_H-M 'R -3 m'
_symmetry_Int_Tables_number 166
_symmetry_space_group_name_Hall '-R 3 2"'
loop_
_atom_site_label
_atom_site_type_symbol
_atom_site_fract_x
_atom_site_fract_y
_atom_site_fract_z
Re1 Re 0.0000 0.0000 0.0000
Ru1 Ru 0.0000 0.0000 0.5000
Rh1 Rh 0.0000 0.0000 0.2503
```

Summary:
Volume   172 Å³/cell
Formation energy from the elements   0.1 eV/f.u.
Total magnetic moment   0.00 μB/cell